The following is a DFT calculation (GGA-PBE) of BeBPb3 after structural relaxation.

Cell: 5.037 5.037 5.037 Å, 90.00 90.00 90.00°
Space group Pm-3m (No. 221)
One atom of each set of equivalent atoms:
Be 0.000 0.000 0.000
B 0.500 0.500 0.500
Pb 0.000 0.500 0.500

As for the crystal system: cubic. As for the calculated volume: 128 Å³/cell. Its spin magnetization is 0.000 μB/f.u. The calculation puts the total energy at -3.24 eV per atom. As for the density: 8.34 g cm⁻³.